[1]
First-principles (GGA-PBE) data for a relaxed Ba2TcOs crystal, as listed in Alexandria.

abc: 4.724 4.724 4.774
angles: 90.00 90.00 90.00
Element x y z (fractional)
Ba (0.000, 0.500, 0.000)
Ba (0.500, 0.000, 0.000)
Tc (0.000, 0.000, 0.500)
Os (0.500, 0.500, 0.500)

Properties
VASP energy = -4.962 eV/atom
Calculated formation energy = 5.6 eV/f.u.
Size of the total moment = 0.829 μB per atom
Polymorph energy (0 for the lowest one) = 1138.3 meV/atom
Theoretical density = 8.77 g/cm3

[2]
First-principles (GGA-PBE) data for a relaxed Ba2TcOs crystal, as listed in Alexandria.

abc: 5.421 5.421 5.421
angles: 60.00 60.00 60.00
Element x y z (fractional)
Ba (0.250, 0.250, 0.250)
Ba (0.750, 0.750, 0.750)
Tc (0.000, 0.000, 0.000)
Os (0.500, 0.500, 0.500)

Properties
VASP energy = -4.914 eV/atom
Calculated formation energy = 5.8 eV/f.u.
Size of the total moment = 1.079 μB per atom
Polymorph energy (0 for the lowest one) = 1186.0 meV/atom
Theoretical density = 8.30 g/cm3

[3]
First-principles (GGA-PBE) data for a relaxed Ba2TcOs crystal, as listed in Alexandria.

abc: 6.964 6.964 6.964
angles: 146.84 135.28 56.79
Element x y z (fractional)
Ba (0.000, 0.000, 0.000)
Ba (0.726, 0.226, 0.500)
Tc (0.416, 0.416, 0.000)
Os (0.314, 0.814, 0.500)

Properties
VASP energy = -5.810 eV/atom
Calculated formation energy = 2.2 eV/f.u.
Size of the total moment = 0.000 μB per atom
Polymorph energy (0 for the lowest one) = 290.4 meV/atom
Theoretical density = 7.25 g/cm3

[4]
First-principles (GGA-PBE) data for a relaxed BaTcOs2 crystal, as listed in Alexandria.

abc: 4.723 4.723 6.780
angles: 102.56 102.56 38.34
Element x y z (fractional)
Ba (0.000, 0.000, 0.000)
Tc (0.500, 0.500, 0.500)
Os (0.220, 0.220, 0.636)
Os (0.780, 0.780, 0.364)

Properties
VASP energy = -7.874 eV/atom
Calculated formation energy = 3.3 eV/f.u.
Size of the total moment = 0.000 μB per atom
Polymorph energy (0 for the lowest one) = 352.1 meV/atom
Theoretical density = 11.20 g/cm3

[5]
First-principles (GGA-PBE) data for a relaxed BaTcOs2 crystal, as listed in Alexandria.

abc: 2.887 3.667 7.707
angles: 90.00 90.00 90.00
Element x y z (fractional)
Ba (0.000, 0.000, 0.000)
Tc (0.000, 0.000, 0.500)
Os (0.500, 0.500, 0.333)
Os (0.500, 0.500, 0.667)

Properties
VASP energy = -7.934 eV/atom
Calculated formation energy = 3.0 eV/f.u.
Size of the total moment = 0.000 μB per atom
Polymorph energy (0 for the lowest one) = 291.5 meV/atom
Theoretical density = 12.53 g/cm3

[6]
First-principles (GGA-PBE) data for a relaxed Ba2TcOs crystal, as listed in Alexandria.

abc: 5.808 5.808 5.808
angles: 131.92 131.72 70.52
Element x y z (fractional)
Ba (0.250, 0.250, 0.000)
Ba (0.750, 0.750, 0.000)
Tc (0.500, 0.000, 0.500)
Os (0.000, 0.500, 0.500)

Properties
VASP energy = -4.959 eV/atom
Calculated formation energy = 5.6 eV/f.u.
Size of the total moment = 0.841 μB per atom
Polymorph energy (0 for the lowest one) = 1141.3 meV/atom
Theoretical density = 8.77 g/cm3